# 1
## PrEr2Al7Ag2 (PBE)

Data for PrEr2Al7Ag2 after structural relaxation.

Calculated total energy ... -4.28 eV per atom
Calculated volume ... 19.78 A^3/atom

abc: 5.5788 5.5788 26.4174
angles: 90.00 90.00 120.00
Closest atoms and distances in Å follow each position.
Space group R-3m (No. 166, hexagonal axes)
Unique sites:
Pr (0.0000, 0.0000, 0.0000) x3  6 Ag 3.22, 12 Al 3.57
Er (0.0000, 0.0000, 0.1423) x6  12 Al 3.18-3.28, 3 Er 3.47
Al (0.0000, 0.0000, 0.5000) x3  6 Al 2.72
Al (0.0081, 0.5041, 0.9154) x18  5 Al 2.72-2.86, 2 Ag 2.73-2.78
Ag (0.0000, 0.0000, 0.3357) x6  6 Al 2.73-2.78

=====

# 2
## Ho4Co3Si (PBE)

Data for Ho4Co3Si after structural relaxation.

Calculated total energy ... -6.00 eV per atom
Calculated volume ... 20.01 A^3/atom

abc: 5.5271 3.8420 7.5381
angles: 90.00 90.66 90.00
Closest atoms and distances in Å follow each position.
Space group Pm (No. 6)
Unique sites:
Ho (0.0000, 0.0000, 0.0000) x1  5 Co 2.87-3.05, 2 Si 2.96
Ho (0.2423, 0.5000, 0.6564) x1  6 Co 2.83-3.16, 1 Si 2.98
Ho (0.4913, 0.5000, 0.1584) x1  2 Si 2.89-3.03, 5 Co 2.89-2.92
Ho (0.7403, 0.0000, 0.5271) x1  5 Co 2.87-3.05, 2 Si 2.98
Co (0.2301, 0.0000, 0.3701) x1  2 Si 2.34
Co (0.5109, 0.0000, 0.8698) x1  2 Co 2.27
Co (0.7128, 0.5000, 0.8093) x1  2 Co 2.27
Si (0.0067, 0.5000, 0.2985) x1  2 Co 2.34

=====

# 3
## NaPmAs (PBE)

Data for NaPmAs after structural relaxation.

ΔE to the lowest computed polymorph ... 0 meV/atom
Calculated total energy ... -4.28 eV per atom
Calculated volume ... 27.03 A^3/atom

abc: 6.8709 6.8709 6.8709
angles: 90.00 90.00 90.00
Closest atoms and distances in Å follow each position.
Space group F-43m (No. 216)
Unique sites:
Na (0.0000, 0.0000, 0.0000) x4  4 As 2.98
Pm (0.0000, 0.0000, 0.5000) x4  4 As 2.98
As (0.2500, 0.2500, 0.2500) x4  4 Na 2.98, 4 Pm 2.98

=====

# 4
## SmAuNO (PBE)

Data for SmAuNO after structural relaxation.

ΔE to the lowest computed polymorph ... 271 meV/atom
Calculated total energy ... -6.19 eV per atom
Calculated volume ... 15.21 A^3/atom

abc: 3.9810 3.9810 7.6771
angles: 90.00 90.00 90.00
Closest atoms and distances in Å follow each position.
Space group P4/nmm (No. 129, origin choice 2)
Unique sites:
Sm (0.2500, 0.2500, 0.1489) x2  4 O 2.30
Au (0.2500, 0.7500, 0.5000) x2  4 N 2.40
N (0.2500, 0.2500, 0.6751) x2  4 Au 2.40
O (0.2500, 0.7500, 0.0000) x2  4 Sm 2.30

=====

# 5
## Pr4BrN2Cl (PBE)

Data for Pr4BrN2Cl after structural relaxation.

Calculated total energy ... -6.37 eV per atom
Calculated volume ... 21.70 A^3/atom

abc: 3.7224 3.7224 14.4660
angles: 90.00 90.00 120.00
Closest atoms and distances in Å follow each position.
Space group P-6m2 (No. 187)
Unique sites:
Pr (0.0000, 0.0000, 0.1520) x2  3 N 2.52
Pr (0.6667, 0.3333, 0.3378) x2  3 N 2.54
Br (0.0000, 0.0000, 0.5000) x1  6 Pr 3.18
N (0.3333, 0.6667, 0.2436) x2  6 Pr 2.52-2.54
Cl (0.6667, 0.3333, 0.0000) x1  6 Pr 3.08

=====

# 6
## PrSiIr (PBE)

Data for PrSiIr after structural relaxation.

Calculated total energy ... -7.29 eV per atom
Calculated volume ... 21.73 A^3/atom

abc: 6.3883 6.3883 6.3883
angles: 90.00 90.00 90.00
Closest atoms and distances in Å follow each position.
Space group P2_13 (No. 198)
Unique sites:
Pr (0.1226, 0.1226, 0.1226) x4  4 Ir 3.14-3.39, 4 Si 3.17-3.24
Si (0.1637, 0.3363, 0.6637) x4  3 Ir 2.34
Ir (0.0707, 0.5707, 0.9293) x4  3 Si 2.34